No. 1
! Rb4TiO4 | Alexandria | GGA-PBEsol | relaxed; values from VASP
&SYSTEM
  ibrav = 0, nat = 18, ntyp = 3
/
ATOMIC_SPECIES
Rb 85.47 Rb.upf
Ti 47.87 Ti.upf
O 16.00 O.upf
CELL_PARAMETERS angstrom
6.645 0.011 -0.021
2.670 6.125 -0.032
1.785 2.566 9.300
ATOMIC_POSITIONS crystal
Rb 0.247 0.769 0.033
Rb 0.278 0.510 0.438
Rb 0.246 0.412 0.843
Rb 0.220 0.963 0.623
Rb 0.780 0.037 0.377
Rb 0.754 0.588 0.157
Rb 0.722 0.490 0.562
Rb 0.753 0.231 0.967
Ti 0.266 0.158 0.248
Ti 0.734 0.842 0.752
O 0.120 0.169 0.102
O 0.051 0.290 0.373
O 0.442 0.326 0.187
O 0.565 0.133 0.658
O 0.435 0.867 0.342
O 0.558 0.674 0.813
O 0.949 0.710 0.627
O 0.880 0.831 0.898
! * symmetry: P-1 (2)

---

No. 2
! Rb5Tl3O | Alexandria | GGA-PBEsol | relaxed; values from VASP
&SYSTEM
  ibrav = 0, nat = 36, ntyp = 3
/
ATOMIC_SPECIES
O 16.00 O.upf
Rb 85.47 Rb.upf
Tl 204.38 Tl.upf
CELL_PARAMETERS angstrom
-3.305 -7.882 -1.340
7.616 -3.721 3.103
-4.773 3.952 16.453
ATOMIC_POSITIONS crystal
O 0.323 0.250 0.646
O 0.677 0.750 0.354
O 0.509 0.750 0.017
O 0.491 0.250 0.983
Rb 0.206 0.750 0.014
Rb 0.794 0.250 0.986
Rb 0.807 0.750 0.014
Rb 0.193 0.250 0.986
Rb 0.551 0.466 0.103
Rb 0.449 0.966 0.897
Rb 0.551 0.034 0.103
Rb 0.449 0.534 0.897
Rb 0.487 0.250 0.530
Rb 0.513 0.750 0.470
Rb 0.043 0.250 0.530
Rb 0.957 0.750 0.470
Rb 0.368 0.750 0.259
Rb 0.632 0.250 0.741
Rb 0.890 0.750 0.259
Rb 0.110 0.250 0.741
Rb 0.321 0.538 0.642
Rb 0.679 0.038 0.358
Rb 0.321 0.962 0.642
Rb 0.679 0.462 0.358
Tl 0.182 0.438 0.364
Tl 0.818 0.938 0.636
Tl 0.182 0.062 0.364
Tl 0.818 0.562 0.636
Tl 0.078 0.456 0.155
Tl 0.922 0.956 0.845
Tl 0.078 0.044 0.155
Tl 0.922 0.544 0.845
Tl 0.329 0.250 0.251
Tl 0.671 0.750 0.749
Tl 0.922 0.250 0.251
Tl 0.078 0.750 0.749
! * symmetry: Cmcm (63)

---

No. 3
! Rb3TlO3 | Alexandria | GGA-PBEsol | relaxed; values from VASP
&SYSTEM
  ibrav = 0, nat = 28, ntyp = 3
/
ATOMIC_SPECIES
Rb 85.47 Rb.upf
Tl 204.38 Tl.upf
O 16.00 O.upf
CELL_PARAMETERS angstrom
7.098 0.000 0.000
0.000 7.754 0.030
0.000 -0.760 11.463
ATOMIC_POSITIONS crystal
Rb 0.631 0.941 0.844
Rb 0.869 0.941 0.344
Rb 0.319 0.359 0.924
Rb 0.202 0.630 0.189
Rb 0.702 0.370 0.311
Rb 0.798 0.370 0.811
Rb 0.298 0.630 0.689
Rb 0.181 0.359 0.424
Rb 0.681 0.641 0.076
Rb 0.819 0.641 0.576
Rb 0.131 0.059 0.656
Rb 0.369 0.059 0.156
Tl 0.096 0.834 0.930
Tl 0.904 0.166 0.070
Tl 0.404 0.834 0.430
Tl 0.596 0.166 0.570
O 0.565 0.692 0.302
O 0.536 0.890 0.606
O 0.036 0.110 0.894
O 0.131 0.739 0.463
O 0.631 0.261 0.037
O 0.869 0.261 0.537
O 0.369 0.739 0.963
O 0.935 0.692 0.802
O 0.464 0.110 0.394
O 0.435 0.308 0.698
O 0.065 0.308 0.198
O 0.964 0.890 0.106
! * symmetry: P2_1/c (14)

---

No. 4
! Rb3TlO | Alexandria | GGA-PBEsol | relaxed; values from VASP
&SYSTEM
  ibrav = 0, nat = 5, ntyp = 3
/
ATOMIC_SPECIES
Tl 204.38 Tl.upf
O 16.00 O.upf
Rb 85.47 Rb.upf
CELL_PARAMETERS angstrom
5.636 0.000 0.000
0.000 5.636 0.000
0.000 0.000 5.636
ATOMIC_POSITIONS crystal
Tl 0.500 0.500 0.500
O 0.000 0.000 0.000
Rb 0.000 0.500 0.000
Rb 0.000 0.000 0.500
Rb 0.500 0.000 0.000
! * symmetry: Pm-3m (221)

---

No. 5
! Rb2U2O7 | Alexandria | GGA-PBEsol | relaxed; values from VASP
&SYSTEM
  ibrav = 0, nat = 22, ntyp = 3
/
ATOMIC_SPECIES
Rb 85.47 Rb.upf
U 238.03 U.upf
O 16.00 O.upf
CELL_PARAMETERS angstrom
6.929 -0.009 0.000
-2.339 7.007 0.000
0.000 0.000 7.974
ATOMIC_POSITIONS crystal
Rb 0.771 0.508 0.880
Rb 0.271 0.508 0.620
Rb 0.729 0.492 0.380
Rb 0.229 0.492 0.120
U 0.223 0.994 0.378
U 0.277 0.006 0.878
U 0.777 0.006 0.622
U 0.723 0.994 0.122
O 0.633 0.726 0.122
O 0.133 0.726 0.378
O 0.892 0.988 0.362
O 0.867 0.274 0.622
O 0.311 0.262 0.365
O 0.608 0.012 0.862
O 0.189 0.738 0.865
O 0.392 0.988 0.138
O 0.811 0.262 0.135
O 0.689 0.738 0.635
O 0.108 0.012 0.638
O 0.500 0.000 0.500
O 0.367 0.274 0.878
O 0.000 0.000 0.000
! * symmetry: P2_1/c (14)

---

No. 6
! RbV4O10 | Alexandria | GGA-PBEsol | relaxed; values from VASP
&SYSTEM
  ibrav = 0, nat = 15, ntyp = 3
/
ATOMIC_SPECIES
Rb 85.47 Rb.upf
V 50.94 V.upf
O 16.00 O.upf
CELL_PARAMETERS angstrom
-1.677 2.055 2.537
-3.626 -0.409 -4.721
-2.634 -8.150 4.861
ATOMIC_POSITIONS crystal
Rb 0.500 0.000 0.500
V 0.092 0.185 0.154
V 0.207 0.414 0.842
V 0.793 0.586 0.158
V 0.908 0.815 0.846
O 0.067 0.135 0.906
O 0.100 0.200 0.319
O 0.163 0.326 0.678
O 0.617 0.233 0.123
O 0.739 0.479 0.884
O 0.261 0.521 0.116
O 0.383 0.767 0.877
O 0.837 0.674 0.322
O 0.900 0.800 0.681
O 0.933 0.865 0.094
! * symmetry: C2/m (12)

---

No. 7
! Rb3V5O14 | Alexandria | GGA-PBEsol | relaxed; values from VASP
&SYSTEM
  ibrav = 0, nat = 22, ntyp = 3
/
ATOMIC_SPECIES
Rb 85.47 Rb.upf
V 50.94 V.upf
O 16.00 O.upf
CELL_PARAMETERS angstrom
5.359 0.000 0.000
0.000 8.652 0.000
0.000 -4.326 7.493
ATOMIC_POSITIONS crystal
Rb 0.818 0.000 0.614
Rb 0.818 0.386 0.386
Rb 0.818 0.614 0.000
V 0.328 0.230 0.000
V 0.328 0.000 0.230
V 0.328 0.770 0.770
V 0.343 0.667 0.333
V 0.343 0.333 0.667
O 0.454 0.831 0.292
O 0.454 0.708 0.540
O 0.454 0.460 0.169
O 0.454 0.292 0.831
O 0.454 0.169 0.460
O 0.454 0.540 0.708
O 0.388 0.000 0.833
O 0.388 0.167 0.167
O 0.388 0.833 0.000
O 0.029 0.254 0.000
O 0.029 0.000 0.254
O 0.029 0.746 0.746
O 0.038 0.667 0.333
O 0.038 0.333 0.667
! * symmetry: P31m (157)

---

No. 8
! RbVO3 | Alexandria | GGA-PBEsol | relaxed; values from VASP
&SYSTEM
  ibrav = 0, nat = 20, ntyp = 3
/
ATOMIC_SPECIES
Rb 85.47 Rb.upf
V 50.94 V.upf
O 16.00 O.upf
CELL_PARAMETERS angstrom
-4.512 0.227 -2.661
-1.805 -4.723 2.656
-4.529 6.355 8.222
ATOMIC_POSITIONS crystal
Rb 0.071 0.250 0.899
Rb 0.071 0.750 0.601
Rb 0.929 0.750 0.101
Rb 0.929 0.250 0.399
V 0.535 0.250 0.666
V 0.535 0.750 0.834
V 0.465 0.750 0.334
V 0.465 0.250 0.166
O 0.568 0.500 0.250
O 0.432 0.000 0.750
O 0.432 0.500 0.750
O 0.568 0.000 0.250
O 0.398 0.250 0.535
O 0.398 0.750 0.965
O 0.602 0.750 0.465
O 0.602 0.250 0.035
O 0.152 0.250 0.151
O 0.152 0.750 0.349
O 0.848 0.750 0.849
O 0.848 0.250 0.651
! * symmetry: Pbcm (57)

---

Formation energy (no corrections) (computed, eV/atom): -2.032, -0.406, -1.094, -0.391, -2.830, -2.348, -2.349, -2.331
Energy (computed, eV/atom): -5.7457, -2.4357, -4.1590, -2.5821, -8.5672, -8.4847, -8.0192, -7.6120